[1]
DFT (PBE) results for KSb2Au after structural relaxation.

Polymorph energy (0 for the lowest one) = 253 meV per atom
Space-group type = No. 99
Magnetization = 0.00 μB per formula unit
Raw formation energy = -0.06 eV/atom

Unit cell a=3.907 b=3.907 c=7.736 alpha=90.00 beta=90.00 gamma=90.00
Fractional positions:
K  0.000  0.000  0.000
Sb  0.000  0.000  0.529
Sb  0.500  0.500  0.333
Au  0.500  0.500  0.709



[2]
DFT (PBE) results for KSb3Au after structural relaxation.

Polymorph energy (0 for the lowest one) = 0 meV per atom
Space-group type = No. 63
Magnetization = 0.00 μB per formula unit
Raw formation energy = -0.22 eV/atom

Unit cell a=6.600 b=6.600 c=7.340 alpha=90.00 beta=90.00 gamma=108.35
Fractional positions:
K  0.242  0.758  0.750
K  0.758  0.242  0.250
Sb  0.120  0.880  0.250
Sb  0.274  0.274  0.000
Sb  0.274  0.274  0.500
Sb  0.726  0.726  0.000
Sb  0.726  0.726  0.500
Sb  0.880  0.120  0.750
Au  0.384  0.616  0.250
Au  0.616  0.384  0.750



[3]
DFT (PBE) results for KSb4Au after structural relaxation.

Polymorph energy (0 for the lowest one) = 167 meV per atom
Space-group type = No. 216
Magnetization = 0.00 μB per formula unit
Raw formation energy = 0.09 eV/atom

Unit cell a=6.383 b=6.383 c=6.383 alpha=60.00 beta=60.00 gamma=60.00
Fractional positions:
K  0.000  0.000  0.000
Sb  0.151  0.616  0.616
Sb  0.616  0.151  0.616
Sb  0.616  0.616  0.151
Sb  0.616  0.616  0.616
Au  0.250  0.250  0.250



[4]
DFT (PBE) results for K2SbAu2 after structural relaxation.

Polymorph energy (0 for the lowest one) = 0 meV per atom
Space-group type = No. 15
Magnetization = 0.00 μB per formula unit
Raw formation energy = -0.37 eV/atom

Unit cell a=6.308 b=6.308 c=8.679 alpha=99.49 beta=99.49 gamma=62.50
Fractional positions:
K  0.021  0.274  0.148
K  0.274  0.021  0.648
K  0.726  0.979  0.352
K  0.979  0.726  0.852
Sb  0.400  0.600  0.250
Sb  0.600  0.400  0.750
Au  0.225  0.502  0.507
Au  0.498  0.775  0.993
Au  0.502  0.225  0.007
Au  0.775  0.498  0.493



[5]
DFT (PBE) results for KSbAu4 after structural relaxation.

Polymorph energy (0 for the lowest one) = 47 meV per atom
Space-group type = No. 216
Magnetization = 0.00 μB per formula unit
Raw formation energy = -0.10 eV/atom

Unit cell a=5.720 b=5.720 c=5.720 alpha=60.00 beta=60.00 gamma=60.00
Fractional positions:
K  0.000  0.000  0.000
Sb  0.750  0.750  0.750
Au  0.375  0.375  0.375
Au  0.375  0.375  0.875
Au  0.375  0.875  0.375
Au  0.875  0.375  0.375



[6]
DFT (PBE) results for KSbAu2 after structural relaxation.

Space-group type = No. 63
Magnetization = 0.00 μB per formula unit
Raw formation energy = -0.25 eV/atom

Unit cell a=4.925 b=12.259 c=7.603 alpha=90.00 beta=90.00 gamma=90.00
Fractional positions:
K  0.000  0.052  0.250
K  0.000  0.948  0.750
K  0.500  0.448  0.750
K  0.500  0.552  0.250
Sb  0.000  0.234  0.750
Sb  0.000  0.766  0.250
Sb  0.500  0.266  0.250
Sb  0.500  0.734  0.750
Au  0.000  0.334  0.068
Au  0.000  0.334  0.432
Au  0.000  0.666  0.568
Au  0.000  0.666  0.932
Au  0.500  0.166  0.568
Au  0.500  0.166  0.932
Au  0.500  0.834  0.068
Au  0.500  0.834  0.432



[7]
DFT (PBE) results for KSbAu2 after structural relaxation.

Space-group type = No. 122
Magnetization = 0.00 μB per formula unit
Raw formation energy = -0.27 eV/atom

Unit cell a=5.775 b=5.775 c=17.426 alpha=90.00 beta=90.00 gamma=90.00
Fractional positions:
K  0.000  0.000  0.000
K  0.000  0.500  0.250
K  0.500  0.000  0.750
K  0.500  0.500  0.500
Sb  0.000  0.000  0.500
Sb  0.000  0.500  0.750
Sb  0.500  0.000  0.250
Sb  0.500  0.500  0.000
Au  0.059  0.250  0.625
Au  0.250  0.559  0.875
Au  0.250  0.941  0.375
Au  0.441  0.250  0.125
Au  0.559  0.750  0.125
Au  0.750  0.059  0.375
Au  0.750  0.441  0.875
Au  0.941  0.750  0.625



[8]
DFT (PBE) results for KSb2Au after structural relaxation.

Polymorph energy (0 for the lowest one) = 231 meV per atom
Space-group type = No. 123
Magnetization = 0.00 μB per formula unit
Raw formation energy = -0.08 eV/atom

Unit cell a=3.908 b=3.908 c=7.554 alpha=90.00 beta=90.00 gamma=90.00
Fractional positions:
K  0.000  0.000  0.000
Sb  0.500  0.500  0.318
Sb  0.500  0.500  0.682
Au  0.000  0.000  0.500



[9]
DFT (PBE) results for KSbAu2 after structural relaxation.

Space-group type = No. 12
Magnetization = 0.00 μB per formula unit
Raw formation energy = -0.26 eV/atom

Unit cell a=8.409 b=4.852 c=6.476 alpha=90.00 beta=115.34 gamma=90.00
Fractional positions:
K  0.000  0.000  0.000
K  0.500  0.500  0.000
Sb  0.000  0.500  0.500
Sb  0.500  0.000  0.500
Au  0.195  0.000  0.587
Au  0.305  0.500  0.413
Au  0.695  0.500  0.587
Au  0.805  0.000  0.413



[10]
DFT (PBE) results for K2Sb2Au3 after structural relaxation.

Polymorph energy (0 for the lowest one) = 0 meV per atom
Space-group type = No. 12
Magnetization = 0.00 μB per formula unit
Raw formation energy = -0.28 eV/atom

Unit cell a=12.431 b=4.635 c=7.824 alpha=90.00 beta=123.66 gamma=90.00
Fractional positions:
K  0.159  0.000  0.286
K  0.341  0.500  0.714
K  0.659  0.500  0.286
K  0.841  0.000  0.714
Sb  0.135  0.000  0.757
Sb  0.365  0.500  0.243
Sb  0.635  0.500  0.757
Sb  0.865  0.000  0.243
Au  0.000  0.500  0.500
Au  0.090  0.500  0.939
Au  0.410  0.000  0.061
Au  0.500  0.000  0.500
Au  0.590  0.000  0.939
Au  0.910  0.500  0.061



[11]
DFT (PBE) results for KSb4Au2 after structural relaxation.

Space-group type = No. 58
Magnetization = 0.00 μB per formula unit
Raw formation energy = -0.16 eV/atom

Unit cell a=6.473 b=11.729 c=5.959 alpha=90.00 beta=90.00 gamma=90.00
Fractional positions:
K  0.000  0.000  0.000
K  0.500  0.500  0.500
Sb  0.138  0.243  0.500
Sb  0.192  0.301  0.000
Sb  0.308  0.801  0.500
Sb  0.362  0.743  0.000
Sb  0.638  0.257  0.000
Sb  0.692  0.199  0.500
Sb  0.808  0.699  0.000
Sb  0.862  0.757  0.500
Au  0.225  0.529  0.000
Au  0.275  0.029  0.500
Au  0.725  0.971  0.500
Au  0.775  0.471  0.000



[12]
DFT (PBE) results for K2SbAu2 after structural relaxation.

Polymorph energy (0 for the lowest one) = 46 meV per atom
Space-group type = No. 127
Magnetization = 0.00 μB per formula unit
Raw formation energy = -0.32 eV/atom

Unit cell a=7.391 b=7.391 c=5.367 alpha=90.00 beta=90.00 gamma=90.00
Fractional positions:
K  0.175  0.325  0.000
K  0.325  0.825  0.000
K  0.675  0.175  0.000
K  0.825  0.675  0.000
Sb  0.000  0.000  0.500
Sb  0.500  0.500  0.500
Au  0.137  0.637  0.500
Au  0.363  0.137  0.500
Au  0.637  0.863  0.500
Au  0.863  0.363  0.500



[13]
DFT (PBE) results for KSb2Au after structural relaxation.

Polymorph energy (0 for the lowest one) = 114 meV per atom
Space-group type = No. 8
Magnetization = 0.00 μB per formula unit
Raw formation energy = -0.20 eV/atom

Unit cell a=10.277 b=4.362 c=6.513 alpha=90.00 beta=113.61 gamma=90.00
Fractional positions:
K  0.000  0.000  0.000
K  0.500  0.500  0.000
Sb  0.065  0.500  0.569
Sb  0.316  0.500  0.381
Sb  0.565  0.000  0.569
Sb  0.816  0.000  0.381
Au  0.236  0.000  0.567
Au  0.736  0.500  0.567



[14]
DFT (PBE) results for KSb2Au after structural relaxation.

Polymorph energy (0 for the lowest one) = 349 meV per atom
Space-group type = No. 216
Magnetization = 0.00 μB per formula unit
Raw formation energy = 0.04 eV/atom

Unit cell a=7.605 b=7.605 c=7.605 alpha=90.00 beta=90.00 gamma=90.00
Fractional positions:
K  0.000  0.000  0.000
K  0.000  0.500  0.500
K  0.500  0.000  0.500
K  0.500  0.500  0.000
Sb  0.000  0.000  0.500
Sb  0.000  0.500  0.000
Sb  0.250  0.250  0.750
Sb  0.250  0.750  0.250
Sb  0.500  0.000  0.000
Sb  0.500  0.500  0.500
Sb  0.750  0.250  0.250
Sb  0.750  0.750  0.750
Au  0.250  0.250  0.250
Au  0.250  0.750  0.750
Au  0.750  0.250  0.750
Au  0.750  0.750  0.250



[15]
DFT (PBE) results for KSb4Au4 after structural relaxation.

Space-group type = No. 86
Magnetization = 0.00 μB per formula unit
Raw formation energy = -0.15 eV/atom

Unit cell a=9.290 b=9.290 c=5.777 alpha=90.00 beta=90.00 gamma=90.00
Fractional positions:
K  0.250  0.250  0.250
K  0.750  0.750  0.750
Sb  0.103  0.882  0.648
Sb  0.118  0.603  0.148
Sb  0.382  0.897  0.148
Sb  0.397  0.618  0.648
Sb  0.603  0.382  0.352
Sb  0.618  0.103  0.852
Sb  0.882  0.397  0.852
Sb  0.897  0.118  0.352
Au  0.052  0.890  0.158
Au  0.110  0.552  0.658
Au  0.390  0.948  0.658
Au  0.448  0.610  0.158
Au  0.552  0.390  0.842
Au  0.610  0.052  0.342
Au  0.890  0.448  0.342
Au  0.948  0.110  0.842



[16]
DFT (PBE) results for KSbAu4 after structural relaxation.

Polymorph energy (0 for the lowest one) = 0 meV per atom
Space-group type = No. 12
Magnetization = 0.00 μB per formula unit
Raw formation energy = -0.15 eV/atom

Unit cell a=6.294 b=6.294 c=8.793 alpha=108.66 beta=108.66 gamma=62.02
Fractional positions:
K  0.205  0.205  0.324
K  0.795  0.795  0.676
Sb  0.465  0.465  0.726
Sb  0.535  0.535  0.274
Au  0.106  0.672  0.048
Au  0.215  0.785  0.500
Au  0.224  0.224  0.752
Au  0.328  0.894  0.952
Au  0.672  0.106  0.048
Au  0.776  0.776  0.248
Au  0.785  0.215  0.500
Au  0.894  0.328  0.952



[17]
DFT (PBE) results for KSb2Au4 after structural relaxation.

Space-group type = No. 62
Magnetization = 0.00 μB per formula unit
Raw formation energy = -0.20 eV/atom

Unit cell a=21.670 b=4.865 c=6.976 alpha=90.00 beta=90.00 gamma=90.00
Fractional positions:
K  0.141  0.250  0.029
K  0.359  0.750  0.529
K  0.641  0.250  0.471
K  0.859  0.750  0.971
Sb  0.036  0.750  0.197
Sb  0.201  0.250  0.550
Sb  0.299  0.750  0.050
Sb  0.464  0.250  0.697
Sb  0.536  0.750  0.303
Sb  0.701  0.250  0.950
Sb  0.799  0.750  0.450
Sb  0.964  0.250  0.803
Au  0.020  0.750  0.762
Au  0.071  0.250  0.581
Au  0.127  0.750  0.471
Au  0.224  0.750  0.742
Au  0.276  0.250  0.242
Au  0.373  0.250  0.971
Au  0.429  0.750  0.081
Au  0.480  0.250  0.262
Au  0.520  0.750  0.738
Au  0.571  0.250  0.919
Au  0.627  0.750  0.029
Au  0.724  0.750  0.758
Au  0.776  0.250  0.258
Au  0.873  0.250  0.529
Au  0.929  0.750  0.419
Au  0.980  0.250  0.238



[18]
DFT (PBE) results for KSb2Au2 after structural relaxation.

Space-group type = No. 129
Magnetization = 0.00 μB per formula unit
Raw formation energy = -0.29 eV/atom

Unit cell a=4.885 b=4.885 c=11.274 alpha=90.00 beta=90.00 gamma=90.00
Fractional positions:
K  0.250  0.250  0.242
K  0.750  0.750  0.758
Sb  0.250  0.250  0.873
Sb  0.250  0.750  0.500
Sb  0.750  0.250  0.500
Sb  0.750  0.750  0.127
Au  0.250  0.250  0.631
Au  0.250  0.750  0.000
Au  0.750  0.250  0.000
Au  0.750  0.750  0.369



[19]
DFT (PBE) results for KSbAu2 after structural relaxation.

Space-group type = No. 47
Magnetization = 0.00 μB per formula unit
Raw formation energy = -0.15 eV/atom

Unit cell a=4.658 b=5.050 c=5.507 alpha=90.00 beta=90.00 gamma=90.00
Fractional positions:
K  0.000  0.000  0.000
Sb  0.000  0.500  0.500
Au  0.500  0.500  0.241
Au  0.500  0.500  0.759



[20]
DFT (PBE) results for K8Sb2Au after structural relaxation.

Space-group type = No. 12
Magnetization = 0.00 μB per formula unit
Raw formation energy = -0.33 eV/atom

Unit cell a=10.827 b=10.827 c=8.323 alpha=111.90 beta=111.90 gamma=31.89
Fractional positions:
K  0.017  0.017  0.267
K  0.211  0.211  0.796
K  0.334  0.334  0.555
K  0.397  0.397  0.071
K  0.603  0.603  0.929
K  0.666  0.666  0.445
K  0.789  0.789  0.204
K  0.983  0.983  0.733
Sb  0.169  0.169  0.174
Sb  0.831  0.831  0.826
Au  0.500  0.500  0.500



[21]
DFT (PBE) results for KSbAu2 after structural relaxation.

Space-group type = No. 216
Magnetization = 0.00 μB per formula unit
Raw formation energy = 0.11 eV/atom

Unit cell a=7.216 b=7.216 c=7.216 alpha=90.00 beta=90.00 gamma=90.00
Fractional positions:
K  0.000  0.000  0.000
K  0.000  0.500  0.500
K  0.500  0.000  0.500
K  0.500  0.500  0.000
Sb  0.250  0.250  0.250
Sb  0.250  0.750  0.750
Sb  0.750  0.250  0.750
Sb  0.750  0.750  0.250
Au  0.000  0.000  0.500
Au  0.000  0.500  0.000
Au  0.250  0.250  0.750
Au  0.250  0.750  0.250
Au  0.500  0.000  0.000
Au  0.500  0.500  0.500
Au  0.750  0.250  0.250
Au  0.750  0.750  0.750



[22]
DFT (PBE) results for KSb2Au after structural relaxation.

Polymorph energy (0 for the lowest one) = 147 meV per atom
Space-group type = No. 63
Magnetization = 0.00 μB per formula unit
Raw formation energy = -0.17 eV/atom

Unit cell a=5.112 b=11.280 c=7.950 alpha=90.00 beta=90.00 gamma=90.00
Fractional positions:
K  0.000  0.068  0.250
K  0.000  0.932  0.750
K  0.500  0.432  0.750
K  0.500  0.568  0.250
Sb  0.000  0.374  0.048
Sb  0.000  0.374  0.452
Sb  0.000  0.626  0.548
Sb  0.000  0.626  0.952
Sb  0.500  0.126  0.548
Sb  0.500  0.126  0.952
Sb  0.500  0.874  0.048
Sb  0.500  0.874  0.452
Au  0.000  0.235  0.750
Au  0.000  0.765  0.250
Au  0.500  0.265  0.250
Au  0.500  0.735  0.750



[23]
DFT (PBE) results for KSb2Au after structural relaxation.

Polymorph energy (0 for the lowest one) = 376 meV per atom
Space-group type = No. 139
Magnetization = 0.00 μB per formula unit
Raw formation energy = 0.06 eV/atom

Unit cell a=4.517 b=4.517 c=10.806 alpha=90.00 beta=90.00 gamma=90.00
Fractional positions:
K  0.000  0.000  0.000
K  0.500  0.500  0.500
Sb  0.000  0.500  0.250
Sb  0.000  0.500  0.750
Sb  0.500  0.000  0.250
Sb  0.500  0.000  0.750
Au  0.000  0.000  0.500
Au  0.500  0.500  0.000



Per-record energy, eV per atom: -3.21 -3.57 -3.39 -2.94 -3.16 -3.20 -3.22 -3.24 -3.20 -3.18 -3.61 -2.90 -3.35 -3.12 -3.56 -3.20 -3.41 -3.47 -3.10 -2.17 -2.84 -3.32 -3.09